# 1
Computed, not measured: a relaxed structure of Sm4SbTe2Se at the GGA-PBE level of DFT.

Raw total energy: -0.204 Ha/atom

Cell lengths 7.5652, 4.3640, 7.6838 Å; angles 90.00, 109.11, 90.00 degrees
Last column: nearest neighbours and their distance in Å.
Space group P2/m (No. 10)
Asymmetric unit:
Sm (0.2312, 0.0000, 0.2250)  2 Se 2.97, 1 Sb 3.07, 3 Te 3.15-3.25
Sm (0.2449, 0.5000, 0.7678)  1 Se 2.96, 2 Sb 3.07, 3 Te 3.15-3.25
Sb (0.5000, 0.0000, 0.0000)  6 Sm 3.07
Te (0.0000, 0.0000, 0.5000)  6 Sm 3.15
Te (0.5000, 0.5000, 0.5000)  6 Sm 3.25
Se (0.0000, 0.5000, 0.0000)  6 Sm 2.96-2.97

# 2
Computed, not measured: a relaxed structure of Pm7Ho4Mg at the GGA-PBE level of DFT.

Energy of formation: 2.42 eV per formula unit

Cell lengths 11.2187, 5.5537, 13.1776 Å; angles 90.00, 105.76, 90.00 degrees
Last column: nearest neighbours and their distance in Å.
Space group C2/m (No. 12)
Asymmetric unit:
Pm (0.0000, 0.0000, 0.0000)  2 Mg 2.78, 2 Pm 3.01, 2 Ho 3.09
Pm (0.1390, 0.0000, 0.4689)  4 Ho 3.35-3.61, 4 Pm 3.43-3.71
Pm (0.1612, 0.5000, 0.2554)  1 Mg 3.36, 4 Ho 3.45-3.57, 1 Pm 3.71
Pm (0.2257, 0.5000, 0.8972)  1 Pm 3.01, 1 Mg 3.18
Ho (0.0447, 0.0000, 0.7788)  3 Pm 3.09-3.45
Ho (0.0913, 0.5000, 0.6282)  3 Ho 3.44-3.53, 7 Pm 3.45-3.77
Mg (0.0000, 0.5000, 0.0000)  2 Pm 2.78

# 3
Computed, not measured: a relaxed structure of Ba3Mg2Cd4 at the GGA-PBE level of DFT.

Energy of formation: -2.18 eV per formula unit

Cell lengths 12.4489, 5.3177, 10.0597 Å; angles 90.00, 113.50, 90.00 degrees
Last column: nearest neighbours and their distance in Å.
Space group C2/m (No. 12)
Asymmetric unit:
Ba (0.0000, 0.0000, 0.0000)  8 Cd 3.72-3.88, 4 Mg 4.10
Ba (0.1411, 0.5000, 0.6869)  8 Cd 3.55-3.92, 4 Mg 3.66-3.72
Mg (0.1626, 0.5000, 0.3291)  4 Cd 3.04-3.16
Cd (0.0864, 0.0000, 0.4157)  3 Mg 3.06-3.16, 1 Cd 3.23
Cd (0.2271, 0.5000, 0.0680)  1 Mg 3.04, 2 Cd 3.15

In order of appearance, M_tot = 0.0; 0.0; 0.0 Bohr magnetons per cell.